CrPAu3 after structural relaxation. Source: Alexandria, functional PBE.

abc: 4.7932 4.7932 4.7932
angles: 90.00 90.00 90.00
Atoms (fractional coordinates):
1 Cr 0.0000 0.0000 0.0000
2 P 0.5000 0.5000 0.5000
3 Au 0.0000 0.0000 0.5000
4 Au 0.0000 0.5000 0.0000
5 Au 0.5000 0.0000 0.0000

Density in g/cm³: 10.16
Calculated formation energy in meV per atom: 1430
Final energy in eV per atom: -3.544
Symmetry: Pm-3m
Volume in A^3/atom: 22.02